Crystalline DyYMn2O6 at its relaxed geometry. Source: Alexandria, functional GGA+U.

Final energy in eV/atom: -8.20
Total magnetization in μB/cell: 24.00
N(E_F) in states/eV/atom: 0.067

Lattice parameters (Å, degrees): 6.2267 6.2267 11.5766 90.00 90.00 120.00
Space group P3 (No. 143)
One atom of each set of equivalent atoms:
Dy (0.0000, 0.0000, 0.0000) [1 per cell]
Dy (0.0000, 0.0000, 0.5000) [1 per cell]
Dy (0.6667, 0.3333, 0.4562) [1 per cell]
Y (0.3333, 0.6667, 0.4571) [1 per cell]
Y (0.3333, 0.6667, 0.9568) [1 per cell]
Y (0.6667, 0.3333, 0.9567) [1 per cell]
Mn (0.9999, 0.3334, 0.7250) [3 per cell]
Mn (0.0001, 0.6667, 0.2253) [3 per cell]
O (0.0000, 0.0000, 0.2011) [1 per cell]
O (0.0000, 0.0000, 0.7008) [1 per cell]
O (0.0001, 0.3070, 0.8895) [3 per cell]
O (0.9999, 0.6417, 0.0610) [3 per cell]
O (0.9998, 0.6928, 0.3897) [3 per cell]
O (0.3333, 0.6667, 0.2452) [1 per cell]
O (0.3333, 0.6667, 0.7447) [1 per cell]
O (0.3589, 0.0009, 0.5608) [3 per cell]
O (0.6667, 0.3333, 0.2457) [1 per cell]
O (0.6667, 0.3333, 0.7451) [1 per cell]